Compound: K2Cu2Se
Source: Alexandria via LeMat-Bulk
Functional: SCAN
Structure: single point on PBEsol structure

Computed properties:
Formation energy from raw total energies ... -280.2 meV per atom
DOS at the Fermi energy ... 0.00 states/eV per atom
Electronic total energy ... -13.707 eV per atom

a = 5.581 Å, b = 5.581 Å, c = 5.581 Å
α = 76.12°, β = 67.67°, γ = 112.33°
Positions (direct):
1 K 0.500 0.750 0.750
2 K 0.500 0.250 0.250
3 Cu 0.000 0.335 0.665
4 Cu 0.000 0.665 0.335
5 Se 0.000 0.000 0.000